LiCeSm2Se5 | PBE | relaxed

a = 8.8916 Å, b = 8.8916 Å, c = 12.5300 Å
α = 90.00°, β = 90.00°, γ = 153.06°
Positions (direct):
Li  0.0138  0.9862  0.5000
Li  0.9862  0.0138  0.0000
Ce  0.3035  0.6965  0.0202
Ce  0.6965  0.3035  0.5202
Sm  0.3769  0.6231  0.3156
Sm  0.3902  0.6098  0.7038
Sm  0.6098  0.3902  0.2038
Sm  0.6231  0.3769  0.8156
Se  0.0010  0.9990  0.3035
Se  0.1353  0.8647  0.0181
Se  0.1906  0.8094  0.3553
Se  0.2105  0.7895  0.6851
Se  0.4559  0.5441  0.0946
Se  0.5441  0.4559  0.5946
Se  0.7895  0.2105  0.1851
Se  0.8094  0.1906  0.8553
Se  0.8647  0.1353  0.5181
Se  0.9990  0.0010  0.8035

Summary:
- formation energy (no corrections) (eV per atom) = -1.690
- M_tot (μB/atom) = 0.098